A geometry-optimized TlRu3Se structure. Source: the Alexandria database, functional GGA-PBEsol.

The final energy is -4.8841 eV/atom. The formation energy without anion corrections comes out at 243 kJ per mole of atoms. The magnetic moment is 1.30 μB/atom. Its symmetry is Pm-3m (221).

a = 4.929 Å, b = 4.929 Å, c = 4.929 Å
α = 90.00°, β = 90.00°, γ = 90.00°
Fractional coordinates of all 5 atoms:
Ru  0.000  0.500  0.000
Ru  0.000  0.000  0.500
Ru  0.500  0.000  0.000
Tl  0.000  0.000  0.000
Se  0.500  0.500  0.500